PBE Rb5SrBr6, relaxed; symmetry = C2/m, No. 12; E = -36.7 eV for the cell shown; V = 526 Å³/cell; formation energy (no corrections) = -1.681 eV/atom; total magnetic moment = 0.00 μB/atom
1.0
4.3167 -7.4614 0.0000
4.3167 7.4614 0.0000
-2.8599 0.0000 8.1703
Rb Sr Br
5 1 6
direct
0.0000 0.0000 0.0000
0.1661 0.8339 0.5000
0.3309 0.6691 0.0000
0.6691 0.3309 0.0000
0.8339 0.1661 0.5000
0.5000 0.5000 0.5000
0.1283 0.4253 0.2762
0.2790 0.2790 0.7247
0.4253 0.1283 0.2762
0.5747 0.8717 0.7238
0.7210 0.7210 0.2753
0.8717 0.5747 0.7238